Record 1
DFT (meta-GGA SCAN) results for KSbAu2 at its PBEsol-relaxed geometry.

The structure in POSCAR format:
```
KSbAu2
1.0
-4.7740 1.4810 -2.3115
1.4783 -2.5204 -4.6680
-2.0707 -6.9828 6.3630
Sb K Au
2 2 4
Cartesian
-1.1202 -5.0114 -0.8974 Sb
0.0000 0.0000 0.0000 Sb
-4.2463 -3.0107 0.2808 K
-1.6479 -0.5197 -3.4898 K
0.1741 -3.7644 -2.7851 Au
-0.5551 -2.5073 -0.4463 Au
-0.8547 -7.2599 0.3939 Au
-3.2449 -6.5142 -0.7521 Au
```

Results
- Formation energy from raw total energies: -0.35 eV per atom

Record 2
DFT (meta-GGA SCAN) results for K3Sb2Au3 at its PBEsol-relaxed geometry.

The structure in POSCAR format:
```
K3Sb2Au3
1.0
-2.2626 -5.5876 0.9094
3.3663 -4.2305 2.8176
-2.2881 -1.1659 7.5789
Sb K Au
2 3 3
Cartesian
-0.8079 -8.3017 8.2877 Sb
-0.3764 -2.6823 3.0182 Sb
-0.5922 -5.4920 5.6529 K
-1.6478 -1.6738 6.0514 K
0.4635 -9.3102 5.2545 K
-1.1313 -2.7938 0.4547 Au
0.5519 -4.9090 1.8635 Au
1.6832 -2.1152 1.4088 Au
```

Results
- Formation energy from raw total energies: -0.57 eV per atom

Record 3
DFT (meta-GGA SCAN) results for KSb2Au at its PBEsol-relaxed geometry.

The structure in POSCAR format:
```
KSb2Au
1.0
-2.6285 1.0454 1.7824
-2.3275 -3.4297 -1.4208
2.3638 -4.0252 5.8441
Sb K Au
2 1 1
Cartesian
0.5462 -2.6472 5.4954 Sb
-0.8109 -0.3326 2.1311 Sb
0.0182 -3.7274 2.2116 K
-2.4780 -1.1922 0.1808 Au
```

Results
- Formation energy from raw total energies: -0.32 eV per atom
- E above lowest polymorph: 0 meV per atom

Record 4
DFT (meta-GGA SCAN) results for KSbAu2 at its PBEsol-relaxed geometry.

The structure in POSCAR format:
```
KSbAu2
1.0
-3.3767 -3.1459 -0.9520
1.4815 -2.7602 3.8663
-3.5231 3.0533 2.4065
Sb K Au
1 1 2
Cartesian
-4.5531 0.6018 2.4988 Sb
-0.9400 0.0035 3.3227 K
-0.0785 0.0468 0.1236 Au
-0.8675 -3.3582 2.5121 Au
```

Results
- Formation energy from raw total energies: -0.38 eV per atom

Record 5
DFT (meta-GGA SCAN) results for KSbAu2 at its PBEsol-relaxed geometry.

The structure in POSCAR format:
```
KSbAu2
1.0
4.4569 0.0000 0.0000
0.0000 4.4569 0.0000
-2.2284 -2.2284 4.4298
Au K Sb
2 1 1
Cartesian
0.0000 0.0000 0.0000 Au
2.2284 0.0000 2.2149 Au
2.2284 2.2284 0.0000 K
0.0000 2.2284 2.2149 Sb
```

Results
- Formation energy from raw total energies: 0.05 eV per atom

Record 6
DFT (meta-GGA SCAN) results for KSb2Au at its PBEsol-relaxed geometry.

The structure in POSCAR format:
```
KSb2Au
1.0
3.6042 0.0400 0.0000
-1.1302 3.4227 0.0000
0.0000 0.0000 8.8552
Au K Sb
1 1 2
Cartesian
1.2370 1.7313 4.4276 Au
1.2370 1.7313 0.0000 K
0.0000 0.0000 2.7060 Sb
0.0000 0.0000 6.1492 Sb
```

Results
- Formation energy from raw total energies: -0.11 eV per atom
- E above lowest polymorph: 206 meV per atom

Record 7
DFT (meta-GGA SCAN) results for K2SbAu2 at its PBEsol-relaxed geometry.

The structure in POSCAR format:
```
K2SbAu2
1.0
-4.0536 -0.6561 -1.5665
1.2097 -3.9607 -1.4716
-0.4839 -0.5511 7.6485
Sb K Au
1 2 2
Cartesian
0.0000 0.0000 0.0000 Sb
-0.3481 -3.4101 2.3289 K
-2.9797 -1.7578 2.2815 K
-1.5548 -2.3329 5.0006 Au
-1.7729 -2.8350 -0.3902 Au
```

Results
- Formation energy from raw total energies: 0.15 eV per atom

Record 8
DFT (meta-GGA SCAN) results for KScAu2 at its PBEsol-relaxed geometry.

The structure in POSCAR format:
```
KScAu2
1.0
4.9523 0.0000 0.0000
2.4761 4.2894 0.0529
2.4761 1.3733 4.0640
Au K Sc
2 1 1
Cartesian
4.9523 4.2444 3.0857 Au
4.9523 1.4183 1.0311 Au
2.4761 0.0000 0.0000 K
2.4761 2.8314 2.0584 Sc
```

Results
- E above lowest polymorph: 358 meV per atom
- Formation energy: -0.33 eV/atom

Record 9
DFT (meta-GGA SCAN) results for KScAu2 at its PBEsol-relaxed geometry.

The structure in POSCAR format:
```
KScAu2
1.0
3.4162 0.0000 0.0000
0.0000 3.4162 0.0000
0.0000 0.0000 7.9611
Sc K Au
1 1 2
Cartesian
1.7081 1.7081 3.9805 Sc
1.7081 1.7081 0.0000 K
0.0000 0.0000 5.4429 Au
0.0000 0.0000 2.5182 Au
```

Results
- E above lowest polymorph: 0 meV per atom
- Formation energy: -0.69 eV/atom

Record 10
DFT (meta-GGA SCAN) results for KAu2Se at its PBEsol-relaxed geometry.

The structure in POSCAR format:
```
KAu2Se
1.0
2.8247 0.0000 0.0000
0.0000 2.8247 0.0000
0.0000 0.0000 10.2828
Au K Se
2 1 1
Cartesian
0.0000 0.0000 7.6855 Au
0.0000 0.0000 2.5974 Au
1.4123 1.4123 0.0000 K
1.4123 1.4123 5.1414 Se
```

Results
- Formation energy from raw total energies: 0.14 eV per atom

Record 11
DFT (meta-GGA SCAN) results for K3AuSe13 at its PBEsol-relaxed geometry.

The structure in POSCAR format:
```
K3AuSe13
1.0
-2.3593 -3.1317 3.0167
8.2425 -9.6569 -3.5789
8.3561 4.4224 11.1261
K Au Se
6 2 26
Cartesian
1.6355 -2.7882 4.9002 K
7.0523 -2.6482 9.2820 K
0.1151 -4.9967 1.5929 K
5.7681 -7.7919 -2.1552 K
12.6039 -5.5780 5.6636 K
7.1870 -5.7180 1.2818 K
8.2993 -2.6173 3.7736 Au
4.1781 2.2112 5.5630 Au
6.1068 -5.7908 4.3237 Se
10.0893 -3.5691 7.1977 Se
5.3608 0.4533 9.7636 Se
4.1500 -4.7971 3.3661 Se
11.4735 -1.7109 7.8438 Se
8.8701 -8.8515 -1.6051 Se
2.7658 -6.6553 2.7200 Se
5.3693 0.4852 12.1689 Se
10.5068 -0.8855 9.8805 Se
8.8785 -8.8195 0.8002 Se
3.7325 -7.4807 0.6833 Se
13.7709 -6.8517 9.1870 Se
8.4961 0.2971 9.4316 Se
2.5397 -2.6167 1.7484 Se
5.7433 -8.6633 1.1323 Se
11.6996 -5.7495 8.8154 Se
8.2852 -6.5591 6.9477 Se
8.2021 -9.1221 4.2219 Se
5.9541 -1.8071 3.6161 Se
6.0372 0.7559 6.3419 Se
5.3036 -1.4442 5.8639 Se
8.9357 -6.9220 4.6999 Se
8.1325 -2.5754 6.2401 Se
2.8597 0.1979 4.9955 Se
0.4684 -1.5145 1.3768 Se
11.3796 -8.5641 5.5683 Se
```

Results
- Formation energy from raw total energies: -0.48 eV per atom

Record 12
DFT (meta-GGA SCAN) results for K3AuSe at its PBEsol-relaxed geometry.

The structure in POSCAR format:
```
K3AuSe
1.0
-3.2234 2.1277 4.4296
-2.6690 -5.2061 0.5585
4.1261 -1.7053 3.8218
K Au Se
3 1 1
Cartesian
-1.3345 -2.6030 0.2792 K
2.0630 -0.8527 1.9109 K
-1.6117 1.0639 2.2148 K
0.0000 0.0000 0.0000 Au
-0.8832 -2.3919 4.4049 Se
```

Results
- Formation energy from raw total energies: -0.54 eV per atom

| no. | E (eV for the cell shown) |
| --- | --- |
| 1 | -370.61 |
| 2 | -311.56 |
| 3 | -153.28 |
| 4 | -185.41 |
| 5 | -183.72 |
| 6 | -152.45 |
| 7 | -191.49 |
| 8 | -162.20 |
| 9 | -163.63 |
| 10 | -166.16 |
| 11 | -726.55 |
| 12 | -116.95 |